[1]
Entry from Alexandria via LeMat-Bulk: a geometry-optimized LiAsW structure (PBE).

abc: 4.222 4.222 4.222
angles: 60.00 60.00 60.00
Last column: magnetic moment on the atom in μB.
Fractional positions:
As (0.000, 0.000, 0.000)  -0.03
Li (0.500, 0.500, 0.500)  0.02
W (0.750, 0.750, 0.750)  1.15

DFT total energy: -5.80 eV per atom
D(E_F): 2.215 states/eV/f.u.

[2]
Entry from Alexandria via LeMat-Bulk: a geometry-optimized KMnSnCl6 structure (PBE).

abc: 6.078 6.897 6.897
angles: 120.00 90.00 90.00
Last column: magnetic moment on the atom in μB.
Fractional positions:
K (0.500, 0.667, 0.333)  0.00
Mn (0.500, 0.000, 0.000)  3.87
Sn (0.000, 0.333, 0.667)  -0.05
Cl (0.739, 0.699, 0.733)  -0.01
Cl (0.739, 0.267, 0.966)  -0.01
Cl (0.739, 0.034, 0.301)  -0.01
Cl (0.261, 0.267, 0.301)  -0.01
Cl (0.261, 0.699, 0.966)  -0.01
Cl (0.261, 0.034, 0.733)  -0.01

formation energy from raw total energies: -990 kJ/mol of formula units
DFT total energy: -3.96 eV per atom
D(E_F): 2.884 states/eV/f.u.

[3]
Entry from Alexandria via LeMat-Bulk: a geometry-optimized NaNpInF6 structure (PBE).

abc: 5.588 5.588 11.371
angles: 90.00 90.00 90.00
Last column: magnetic moment on the atom in μB.
Fractional positions:
Na (0.500, 0.500, 0.168)  0.00
Na (0.000, 0.000, 0.668)  0.00
Np (0.500, 0.500, 0.830)  3.08
Np (0.000, 0.000, 0.330)  3.08
In (0.500, 0.500, 0.492)  -0.01
In (0.000, 0.000, 0.992)  -0.01
F (0.171, 0.829, 0.482)  -0.02
F (0.829, 0.171, 0.482)  -0.02
F (0.329, 0.329, 0.982)  -0.02
F (0.671, 0.671, 0.982)  -0.02
F (0.205, 0.795, 0.204)  -0.02
F (0.795, 0.205, 0.204)  -0.02
F (0.295, 0.295, 0.704)  -0.02
F (0.705, 0.705, 0.704)  -0.02
F (0.777, 0.223, 0.819)  -0.02
F (0.223, 0.777, 0.819)  -0.02
F (0.723, 0.723, 0.319)  -0.02
F (0.277, 0.277, 0.319)  -0.02

formation energy from raw total energies: -2541 kJ/mol of formula units
DFT total energy: -6.06 eV per atom
D(E_F): 12.208 states/eV/f.u.

[4]
Entry from Alexandria via LeMat-Bulk: a geometry-optimized ScHgP2Pt structure (PBE).

abc: 4.867 5.015 4.867
angles: 90.00 90.00 90.00
Fractional positions:
Sc (0.500, 0.500, 0.500)
P (0.000, 0.000, 0.500)
P (0.500, 0.000, 0.000)
Hg (0.000, 0.000, 0.000)
Pt (0.000, 0.500, 0.000)

DFT total energy: -3.87 eV per atom
D(E_F): 3.812 states/eV/f.u.

[5]
Entry from Alexandria via LeMat-Bulk: a geometry-optimized Ce2Hg2Pd3 structure (PBE).

abc: 4.180 6.581 6.516
angles: 107.74 108.71 90.00
Last column: magnetic moment on the atom in μB.
Fractional positions:
Ce (0.620, 0.805, 0.241)  0.73
Ce (0.380, 0.195, 0.759)  0.73
Hg (0.894, 0.814, 0.788)  0.01
Hg (0.106, 0.186, 0.212)  0.01
Pd (0.000, 0.500, 0.000)  -0.02
Pd (0.238, 0.650, 0.477)  -0.01
Pd (0.762, 0.350, 0.523)  -0.01

DFT total energy: -4.48 eV per atom
D(E_F): 13.419 states/eV/f.u.

[6]
Entry from Alexandria via LeMat-Bulk: a geometry-optimized TaNb2Au2 structure (PBE).

abc: 8.058 8.058 2.853
angles: 90.00 90.00 90.00
Fractional positions:
Nb (0.177, 0.677, 0.500)
Nb (0.677, 0.823, 0.500)
Nb (0.823, 0.323, 0.500)
Nb (0.323, 0.177, 0.500)
Au (0.378, 0.878, 0.000)
Au (0.878, 0.622, 0.000)
Au (0.622, 0.122, 0.000)
Au (0.122, 0.378, 0.000)
Ta (0.000, 0.000, 0.000)
Ta (0.500, 0.500, 0.000)

DFT total energy: -7.54 eV per atom
D(E_F): 2.172 states/eV/f.u.

[7]
Entry from Alexandria via LeMat-Bulk: a geometry-optimized Ce2NpU3N6 structure (PBE).

abc: 6.030 6.030 6.025
angles: 99.65 99.65 119.93
Last column: magnetic moment on the atom in μB.
Fractional positions:
Ce (0.333, 0.667, 0.000)  0.10
Ce (0.667, 0.333, 0.000)  0.10
Np (0.000, 0.000, 0.000)  3.28
U (0.167, 0.833, 0.500)  0.99
U (0.833, 0.167, 0.500)  0.99
U (0.500, 0.500, 0.500)  0.99
N (0.909, 0.584, 0.728)  -0.06
N (0.765, 0.765, 0.274)  -0.06
N (0.091, 0.416, 0.272)  -0.06
N (0.584, 0.909, 0.728)  -0.06
N (0.235, 0.235, 0.726)  -0.06
N (0.416, 0.091, 0.272)  -0.06

formation energy from raw total energies: -1569 kJ/mol of formula units
DFT total energy: -10.41 eV per atom
D(E_F): 20.872 states/eV/f.u.

[8]
Entry from Alexandria via LeMat-Bulk: a geometry-optimized Li6InPd6 structure (PBE).

abc: 4.974 4.974 8.601
angles: 90.00 90.00 120.02
Fractional positions:
Li (0.000, 0.500, 0.750)
Li (0.500, 0.000, 0.750)
Li (0.500, 0.500, 0.750)
Li (0.500, 0.000, 0.250)
Li (0.000, 0.500, 0.250)
Li (0.500, 0.500, 0.250)
In (0.000, 0.000, 0.000)
Pd (0.000, 0.000, 0.652)
Pd (0.000, 0.000, 0.348)
Pd (0.333, 0.667, 0.000)
Pd (0.667, 0.333, 0.000)
Pd (0.333, 0.667, 0.500)
Pd (0.667, 0.333, 0.500)

DFT total energy: -3.85 eV per atom
D(E_F): 3.720 states/eV/f.u.

[9]
Entry from Alexandria via LeMat-Bulk: a geometry-optimized LaDyZrN3 structure (PBE).

abc: 3.509 6.000 8.946
angles: 102.59 90.00 90.00
Fractional positions:
La (0.750, 0.651, 0.695)
La (0.250, 0.349, 0.305)
Dy (0.250, 0.769, 0.044)
Dy (0.750, 0.231, 0.956)
Zr (0.250, 0.138, 0.643)
Zr (0.750, 0.862, 0.357)
N (0.250, 0.774, 0.480)
N (0.750, 0.041, 0.164)
N (0.750, 0.559, 0.170)
N (0.750, 0.226, 0.520)
N (0.250, 0.441, 0.830)
N (0.250, 0.959, 0.836)

formation energy from raw total energies: -872 kJ/mol of formula units
DFT total energy: -8.68 eV per atom
D(E_F): 2.323 states/eV/f.u.

[10]
Entry from Alexandria via LeMat-Bulk: a geometry-optimized Li3B8C8 structure (PBE).

abc: 2.709 7.476 9.299
angles: 90.67 90.00 90.00
Fractional positions:
C (0.500, 0.768, 0.091)
C (0.000, 0.220, 0.158)
C (0.000, 0.776, 0.342)
C (0.500, 0.272, 0.407)
C (0.500, 0.726, 0.590)
C (0.000, 0.275, 0.659)
C (0.000, 0.732, 0.841)
C (0.500, 0.228, 0.907)
B (0.500, 0.218, 0.074)
B (0.000, 0.769, 0.173)
B (0.000, 0.258, 0.324)
B (0.500, 0.764, 0.424)
B (0.500, 0.273, 0.577)
B (0.000, 0.728, 0.672)
B (0.000, 0.237, 0.825)
B (0.500, 0.748, 0.924)
Li (0.500, 0.006, 0.266)
Li (0.000, 0.510, 0.475)
Li (0.500, 0.492, 0.772)

DFT total energy: -6.89 eV per atom
D(E_F): 6.053 states/eV/f.u.

[11]
Entry from Alexandria via LeMat-Bulk: a geometry-optimized CaTa3 structure (PBE).

abc: 5.767 5.767 2.747
angles: 90.00 90.00 117.17
Fractional positions:
Ca (0.000, 0.000, 0.000)
Ta (0.000, 0.500, 0.500)
Ta (0.500, 0.000, 0.500)
Ta (0.500, 0.500, 0.000)

DFT total energy: -8.74 eV per atom
D(E_F): 4.658 states/eV/f.u.

[12]
Entry from Alexandria via LeMat-Bulk: a geometry-optimized BeZnAg2 structure (PBE).

abc: 3.842 3.842 9.450
angles: 78.27 78.27 90.00
Fractional positions:
Be (0.500, 0.500, 0.000)
Be (0.250, 0.750, 0.500)
Zn (0.000, 0.000, 0.000)
Zn (0.750, 0.250, 0.500)
Ag (0.618, 0.125, 0.250)
Ag (0.132, 0.625, 0.250)
Ag (0.375, 0.382, 0.750)
Ag (0.875, 0.868, 0.750)

DFT total energy: -2.26 eV per atom
D(E_F): 1.526 states/eV/f.u.

Q: What is the DFT total energy in the eighth record?
A: -3.85 eV per atom